Entry from the Alexandria database: a geometry-optimized SnP2SI structure (PBE).

Unit cell a=5.2331 b=5.2331 c=4.8724 alpha=90.00 beta=90.00 gamma=90.00
Last column: magnetic moment on the atom in μB.
Positions (direct):
I1 0.5000 0.5000 0.5000  -0.01
P1 0.0000 0.5000 0.0000  0.16
P2 0.5000 0.0000 0.0000  0.16
S1 0.0000 0.0000 0.5000  0.05
Sn1 0.0000 0.0000 0.0000  0.00

Output
Excess energy over the best structure of this formula in the dataset in eV/atom: 0.000
ΔE_f (raw) in kJ/mol of atoms: 89
Crystal system: tetragonal